1.
This record from the Alexandria database describes an optimized crystal structure of Si2HgOs. The functional is GGA-PBEsol.

The space group is Pmm2 (No. 25) and the conventional cell measures 2.971, 3.642 and 5.873 Å, with angles of 90.00, 90.00 and 90.00 degrees. The distinct sites, in fractional coordinates, are Si at (0.000, 0.000, 0.000), Si at (0.500, 0.500, 0.272), Hg at (0.000, 0.000, 0.528) and Os at (0.500, 0.500, 0.875).

The energy relative to the elements, uncorrected comes out at 0.281 eV/atom.

=====

2.
This record from the Alexandria database describes an optimized crystal structure of Si2HgOs. The functional is GGA-PBEsol.

The space group is I-42d (No. 122) and the conventional cell measures 5.771, 5.771 and 10.569 Å, with angles of 90.00, 90.00 and 90.00 degrees. The distinct sites, in fractional coordinates, are Si at (0.201, 0.250, 0.125), Hg at (0.000, 0.000, 0.500) and Os at (0.000, 0.000, 0.000).

The energy relative to the elements, uncorrected comes out at 0.524 eV/atom.

=====

3.
This record from the Alexandria database describes an optimized crystal structure of TiSiHgOs2. The functional is GGA-PBEsol.

The space group is P4/mmm (No. 123) and the conventional cell measures 4.894, 4.894 and 4.410 Å, with angles of 90.00, 90.00 and 90.00 degrees. The distinct sites, in fractional coordinates, are Ti at (0.000, 0.000, 0.000), Si at (0.500, 0.500, 0.000), Hg at (0.500, 0.500, 0.500) and Os at (0.000, 0.500, 0.500).

The energy relative to the elements, uncorrected comes out at 2.420 eV/atom.

=====

4.
This record from the Alexandria database describes an optimized crystal structure of ZnSiHg2Os. The functional is GGA-PBEsol.

The space group is P4/mmm (No. 123) and the conventional cell measures 5.109, 5.109 and 4.709 Å, with angles of 90.00, 90.00 and 90.00 degrees. The distinct sites, in fractional coordinates, are Zn at (0.000, 0.000, 0.000), Si at (0.500, 0.500, 0.000), Hg at (0.000, 0.500, 0.500) and Os at (0.000, 0.000, 0.500).

The energy relative to the elements, uncorrected comes out at 1.213 eV/atom.